The following is a PBE calculation of a relaxed structure of CdTeRh2, from Alexandria.

Structure (CIF):
```
data_CdTeRh2
_cell_length_a 9.067
_cell_length_b 9.067
_cell_length_c 9.067
_cell_angle_alpha 20.29
_cell_angle_beta 20.29
_cell_angle_gamma 20.29
_symmetry_space_group_name_H-M 'P 1'
_symmetry_Int_Tables_number 1
_symmetry_space_group_name_Hall 'P 1'
loop_
_atom_site_label
_atom_site_type_symbol
_atom_site_fract_x
_atom_site_fract_y
_atom_site_fract_z
Cd1 Cd 0.261 0.261 0.261
Te1 Te 0.485 0.485 0.485
Rh1 Rh 0.005 0.005 0.005
Rh2 Rh 0.749 0.749 0.749
```

Results
Polymorph energy (0 for the lowest one) = 0.307 eV per atom

The following is a PBE calculation of a relaxed structure of Ga2GeAu, from Alexandria.

Structure (CIF):
```
data_Ga2GeAu
_cell_length_a 4.048
_cell_length_b 4.048
_cell_length_c 9.772
_cell_angle_alpha 78.05
_cell_angle_beta 78.05
_cell_angle_gamma 90.00
_symmetry_space_group_name_H-M 'P 1'
_symmetry_Int_Tables_number 1
_symmetry_space_group_name_Hall 'P 1'
loop_
_atom_site_label
_atom_site_type_symbol
_atom_site_fract_x
_atom_site_fract_y
_atom_site_fract_z
Ge1 Ge 0.500 0.500 0.000
Ge2 Ge 0.250 0.750 0.500
Au1 Au 0.000 0.000 0.000
Au2 Au 0.750 0.250 0.500
Ga1 Ga 0.621 0.125 0.250
Ga2 Ga 0.129 0.625 0.250
Ga3 Ga 0.375 0.379 0.750
Ga4 Ga 0.875 0.871 0.750
```

Results
ΔH_f (0 K) = 12 meV per atom

The following is a PBE calculation of a relaxed structure of GaGeB3, from Alexandria.

Structure (CIF):
```
data_GaGeB3
_cell_length_a 4.162
_cell_length_b 4.162
_cell_length_c 4.162
_cell_angle_alpha 90.00
_cell_angle_beta 90.00
_cell_angle_gamma 90.00
_symmetry_space_group_name_H-M 'P 1'
_symmetry_Int_Tables_number 1
_symmetry_space_group_name_Hall 'P 1'
loop_
_atom_site_label
_atom_site_type_symbol
_atom_site_fract_x
_atom_site_fract_y
_atom_site_fract_z
Ge1 Ge 0.500 0.500 0.500
B1 B 0.000 0.500 0.000
B2 B 0.000 0.000 0.500
B3 B 0.500 0.000 0.000
Ga1 Ga 0.000 0.000 0.000
```

Results
Polymorph energy (0 for the lowest one) = 0.097 eV per atom
ΔH_f (0 K) = 1916 meV per atom

The following is a PBE calculation of a relaxed structure of YHgW2, from Alexandria.

Structure (CIF):
```
data_YHgW2
_cell_length_a 10.171
_cell_length_b 10.171
_cell_length_c 10.171
_cell_angle_alpha 17.06
_cell_angle_beta 17.06
_cell_angle_gamma 17.06
_symmetry_space_group_name_H-M 'P 1'
_symmetry_Int_Tables_number 1
_symmetry_space_group_name_Hall 'P 1'
loop_
_atom_site_label
_atom_site_type_symbol
_atom_site_fract_x
_atom_site_fract_y
_atom_site_fract_z
Hg1 Hg 0.750 0.750 0.750
W1 W 0.004 0.004 0.004
W2 W 0.496 0.496 0.496
Y1 Y 0.250 0.250 0.250
```

Results
ΔH_f (0 K) = 888 meV per atom

The following is a PBE calculation of a relaxed structure of Cd3Hg7, from Alexandria.

Structure (CIF):
```
data_Cd3Hg7
_cell_length_a 8.981
_cell_length_b 8.981
_cell_length_c 8.981
_cell_angle_alpha 109.47
_cell_angle_beta 109.47
_cell_angle_gamma 109.47
_symmetry_space_group_name_H-M 'P 1'
_symmetry_Int_Tables_number 1
_symmetry_space_group_name_Hall 'P 1'
loop_
_atom_site_label
_atom_site_type_symbol
_atom_site_fract_x
_atom_site_fract_y
_atom_site_fract_z
Cd1 Cd 0.000 0.342 0.342
Cd2 Cd 0.000 0.658 0.658
Cd3 Cd 0.342 0.342 0.000
Cd4 Cd 0.658 0.658 0.000
Cd5 Cd 0.658 0.000 0.658
Cd6 Cd 0.342 0.000 0.342
Hg1 Hg 0.250 0.500 0.750
Hg2 Hg 0.750 0.500 0.250
Hg3 Hg 0.500 0.750 0.250
Hg4 Hg 0.500 0.250 0.750
Hg5 Hg 0.250 0.750 0.500
Hg6 Hg 0.750 0.250 0.500
Hg7 Hg 0.000 0.334 0.000
Hg8 Hg 0.666 0.666 0.666
Hg9 Hg 0.000 0.000 0.666
Hg10 Hg 0.666 0.000 0.000
Hg11 Hg 0.334 0.000 0.000
Hg12 Hg 0.000 0.000 0.334
Hg13 Hg 0.334 0.334 0.334
Hg14 Hg 0.000 0.666 0.000
```

Results
ΔH_f (0 K) = 40 meV per atom

The following is a PBE calculation of a relaxed structure of K2CoSe, from Alexandria.

Structure (CIF):
```
data_K2CoSe
_cell_length_a 4.378
_cell_length_b 3.183
_cell_length_c 9.289
_cell_angle_alpha 69.03
_cell_angle_beta 90.00
_cell_angle_gamma 90.00
_symmetry_space_group_name_H-M 'P 1'
_symmetry_Int_Tables_number 1
_symmetry_space_group_name_Hall 'P 1'
loop_
_atom_site_label
_atom_site_type_symbol
_atom_site_fract_x
_atom_site_fract_y
_atom_site_fract_z
Co1 Co 0.500 0.750 0.750
K1 K 0.000 0.973 0.034
K2 K 0.000 0.527 0.466
Se1 Se 0.500 0.250 0.250
```

Results
Total DFT energy (no corrections) = -11.9 eV per cell

Total moment in μB per formula unit, matching the order above: 0.00; 0.00; 0.00; 0.00; 0.00; 2.09